Record 1
Mg2Re2Os: relaxed, PBE.

Relative energy among the computed polymorphs (meV/atom): 616.0
Formation enthalpy at 0 K (meV/atom): 1100

Lattice parameters (Å, degrees): 3.4054 3.4054 7.5759 77.01 77.01 90.00
Sites, in units of the cell vectors:
Mg (0.7500, 0.2500, 0.5000)
Mg (0.2500, 0.7500, 0.5000)
Os (0.0000, 0.0000, 0.0000)
Re (0.5907, 0.5907, 0.8187)
Re (0.4093, 0.4093, 0.1813)

Record 2
SiMo3Ir: relaxed, PBE.

Relative energy among the computed polymorphs (meV/atom): 672.8
Raw formation energy (eV per atom): 1.71

Lattice parameters (Å, degrees): 4.7431 4.7431 4.7431 90.00 90.00 90.00
Sites, in units of the cell vectors:
Mo (0.5000, 0.0000, 0.0000)
Mo (0.0000, 0.5000, 0.0000)
Mo (0.0000, 0.0000, 0.5000)
Ir (0.0000, 0.0000, 0.0000)
Si (0.5000, 0.5000, 0.5000)

Record 3
Sc3Cd2In3: relaxed, PBE.

Formation enthalpy at 0 K (meV/atom): -248

Lattice parameters (Å, degrees): 4.6479 5.9696 14.6823 90.00 90.00 112.91
Sites, in units of the cell vectors:
Cd (0.2245, 0.4491, 0.1096)
Cd (0.2245, 0.4491, 0.3904)
Cd (0.7755, 0.5509, 0.6096)
Cd (0.7755, 0.5509, 0.8904)
Sc (0.6881, 0.3763, 0.2500)
Sc (0.0733, 0.1466, 0.6108)
Sc (0.9267, 0.8534, 0.1108)
Sc (0.0733, 0.1466, 0.8892)
Sc (0.3119, 0.6237, 0.7500)
Sc (0.9267, 0.8534, 0.3892)
In (0.5906, 0.1811, 0.7500)
In (0.6068, 0.2135, 0.4474)
In (0.3932, 0.7865, 0.5526)
In (0.6068, 0.2135, 0.0526)
In (0.3932, 0.7865, 0.9474)
In (0.4094, 0.8189, 0.2500)

Record 4
Ce6Sn2OsC: relaxed, PBE.

Formation enthalpy at 0 K (meV/atom): -319

Lattice parameters (Å, degrees): 5.1776 5.1776 10.4108 90.00 90.00 90.00
Sites, in units of the cell vectors:
Sn (0.0000, 0.0000, 0.7396)
Sn (0.0000, 0.0000, 0.2604)
Ce (0.5000, 0.5000, 0.2712)
Ce (0.0000, 0.5000, 0.0000)
Ce (0.5000, 0.0000, 0.0000)
Ce (0.5000, 0.0000, 0.5000)
Ce (0.5000, 0.5000, 0.7288)
Ce (0.0000, 0.5000, 0.5000)
Os (0.5000, 0.5000, 0.0000)
C (0.5000, 0.5000, 0.5000)

Record 5
Sc2InOs: relaxed, PBE.

Formation enthalpy at 0 K (meV/atom): 128

Lattice parameters (Å, degrees): 9.6931 9.6931 9.6931 18.80 18.80 18.80
Sites, in units of the cell vectors:
Sc (0.2472, 0.2472, 0.2472)
Sc (0.0126, 0.0126, 0.0126)
In (0.4919, 0.4919, 0.4919)
Os (0.7483, 0.7483, 0.7483)

Record 6
Li2Zn3Sn: relaxed, PBE.

Relative energy among the computed polymorphs (meV/atom): 105.9
Formation enthalpy at 0 K (meV/atom): -72

Lattice parameters (Å, degrees): 3.0607 4.3927 9.1288 103.92 99.65 90.00
Sites, in units of the cell vectors:
Zn (0.5503, 0.5503, 0.1005)
Zn (0.6911, 0.6911, 0.3821)
Zn (0.3047, 0.8047, 0.6094)
Li (0.8778, 0.3778, 0.7556)
Li (0.1170, 0.1170, 0.2340)
Sn (0.4592, 0.9592, 0.9184)

Record 7
Y2AlB2: relaxed, PBE.

Relative energy among the computed polymorphs (meV/atom): 881.6
Formation enthalpy at 0 K (meV/atom): 534

Lattice parameters (Å, degrees): 7.6325 7.6325 3.1807 90.00 90.00 90.00
Sites, in units of the cell vectors:
B (0.1679, 0.6679, 0.5000)
B (0.6679, 0.8321, 0.5000)
B (0.3321, 0.1679, 0.5000)
B (0.8321, 0.3321, 0.5000)
Al (0.5000, 0.5000, 0.0000)
Al (0.0000, 0.0000, 0.0000)
Y (0.3547, 0.8547, 0.0000)
Y (0.6453, 0.1453, 0.0000)
Y (0.8547, 0.6453, 0.0000)
Y (0.1453, 0.3547, 0.0000)

Record 8
NaNd2Gd: relaxed, PBE.

Relative energy among the computed polymorphs (meV/atom): 0.0
Formation enthalpy at 0 K (meV/atom): 104

Lattice parameters (Å, degrees): 3.5595 3.5595 10.9592 90.00 90.00 90.00
Sites, in units of the cell vectors:
Na (0.5000, 0.5000, 0.5000)
Nd (0.0000, 0.0000, 0.7660)
Nd (0.0000, 0.0000, 0.2340)
Gd (0.5000, 0.5000, 0.0000)

Record 9
Mg2Fe3MoS8: relaxed, PBE.

Raw formation energy (eV per atom): -0.55

Lattice parameters (Å, degrees): 7.0604 7.0604 7.0604 60.18 60.18 60.18
Sites, in units of the cell vectors:
Mg (0.3734, 0.3734, 0.3734)
Mg (0.6266, 0.6266, 0.6266)
S (0.7681, 0.7681, 0.7681)
S (0.7550, 0.7550, 0.2068)
S (0.2319, 0.2319, 0.2319)
S (0.2068, 0.7550, 0.7550)
S (0.7550, 0.2068, 0.7550)
S (0.7932, 0.2450, 0.2450)
S (0.2450, 0.2450, 0.7932)
S (0.2450, 0.7932, 0.2450)
Fe (0.0000, 0.0000, 0.5000)
Fe (0.0000, 0.5000, 0.0000)
Fe (0.5000, 0.0000, 0.0000)
Mo (0.0000, 0.0000, 0.0000)

Record 10
Zr2ZnSi2Ru5: relaxed, PBE.

Raw formation energy (eV per atom): -0.59

Lattice parameters (Å, degrees): 3.2781 9.6700 9.6700 90.00 90.00 90.00
Sites, in units of the cell vectors:
Ru (0.5000, 0.9337, 0.2076)
Ru (0.5000, 0.2076, 0.0663)
Ru (0.5000, 0.0663, 0.7924)
Ru (0.5000, 0.4337, 0.2924)
Ru (0.5000, 0.5000, 0.0000)
Ru (0.5000, 0.7924, 0.9337)
Ru (0.5000, 0.5663, 0.7076)
Ru (0.5000, 0.2924, 0.5663)
Ru (0.5000, 0.7076, 0.4337)
Ru (0.5000, 0.0000, 0.5000)
Si (0.0000, 0.8718, 0.3718)
Si (0.0000, 0.1282, 0.6282)
Si (0.0000, 0.6282, 0.8718)
Si (0.0000, 0.3718, 0.1282)
Zr (0.0000, 0.8274, 0.6726)
Zr (0.0000, 0.1726, 0.3274)
Zr (0.0000, 0.3274, 0.8274)
Zr (0.0000, 0.6726, 0.1726)
Zn (0.0000, 0.0000, 0.0000)
Zn (0.0000, 0.5000, 0.5000)

Record 11
NaLa3Os: relaxed, PBE.

Relative energy among the computed polymorphs (meV/atom): 99.1
Formation enthalpy at 0 K (meV/atom): 9

Lattice parameters (Å, degrees): 26.1437 6.5220 10.2504 90.00 158.70 90.00
Sites, in units of the cell vectors:
La (0.7790, 0.0002, 0.3370)
La (0.1619, 0.8108, 0.1618)
La (0.8381, 0.1892, 0.8382)
La (0.2790, 0.4998, 0.8370)
La (0.7210, 0.5002, 0.1630)
La (0.2210, 0.9998, 0.6630)
La (0.3381, 0.3108, 0.3382)
La (0.0548, 0.7500, 0.5547)
La (0.6619, 0.6892, 0.6618)
La (0.9452, 0.2500, 0.4453)
La (0.4452, 0.2500, 0.9453)
La (0.5548, 0.7500, 0.0547)
Os (0.1084, 0.2499, 0.6085)
Os (0.8916, 0.7501, 0.3915)
Os (0.6084, 0.2501, 0.1085)
Os (0.3916, 0.7499, 0.8915)
Na (0.5750, 0.1608, 0.5752)
Na (0.9250, 0.6608, 0.9248)
Na (0.4250, 0.8392, 0.4248)
Na (0.0750, 0.3392, 0.0752)

Record 12
NdBe2SnPd5: relaxed, PBE.

Formation enthalpy at 0 K (meV/atom): -508

Lattice parameters (Å, degrees): 4.4355 4.4355 7.5614 90.00 90.00 90.00
Sites, in units of the cell vectors:
Pd (0.0000, 0.5000, 0.7787)
Pd (0.5000, 0.0000, 0.7787)
Pd (0.0000, 0.5000, 0.2213)
Pd (0.5000, 0.5000, 0.5000)
Pd (0.5000, 0.0000, 0.2213)
Sn (0.0000, 0.0000, 0.0000)
Be (0.5000, 0.5000, 0.8265)
Be (0.5000, 0.5000, 0.1735)
Nd (0.0000, 0.0000, 0.5000)

Record 13
MgTcSn6: relaxed, PBE.

Formation enthalpy at 0 K (meV/atom): 114

Lattice parameters (Å, degrees): 6.1162 6.1162 5.9373 100.72 100.72 97.77
Sites, in units of the cell vectors:
Sn (0.3755, 0.8078, 0.8046)
Sn (0.2010, 0.2010, 0.6110)
Sn (0.6245, 0.1922, 0.1954)
Sn (0.8078, 0.3755, 0.8046)
Sn (0.1922, 0.6245, 0.1954)
Sn (0.7990, 0.7990, 0.3890)
Tc (0.5000, 0.5000, 0.5000)
Mg (0.0000, 0.0000, 0.0000)

Record 14
Pm8Cd3Tc2: relaxed, PBE.

Formation enthalpy at 0 K (meV/atom): -5

Lattice parameters (Å, degrees): 5.2311 7.9459 9.6660 114.27 90.79 90.00
Sites, in units of the cell vectors:
Pm (0.2309, 0.1666, 0.3331)
Pm (0.7419, 0.8957, 0.3392)
Pm (0.7441, 0.4287, 0.8574)
Pm (0.7419, 0.4435, 0.3392)
Pm (0.2559, 0.5713, 0.1426)
Pm (0.7691, 0.8334, 0.6669)
Pm (0.2581, 0.1043, 0.6608)
Pm (0.2581, 0.5565, 0.6608)
Cd (0.5000, 0.0000, 0.0000)
Cd (0.0000, 0.1778, 0.0000)
Cd (0.0000, 0.8222, 0.0000)
Tc (0.2372, 0.7231, 0.4462)
Tc (0.7628, 0.2769, 0.5538)

Record 15
BaTe3Pd3: relaxed, PBE.

Raw formation energy (eV per atom): -0.63

Lattice parameters (Å, degrees): 7.4274 7.4274 7.4274 90.00 90.00 90.00
Sites, in units of the cell vectors:
Te (0.5000, 0.7500, 0.0000)
Te (0.0000, 0.5000, 0.7500)
Te (0.0000, 0.5000, 0.2500)
Te (0.7500, 0.0000, 0.5000)
Te (0.5000, 0.2500, 0.0000)
Te (0.2500, 0.0000, 0.5000)
Pd (0.5000, 0.0000, 0.7500)
Pd (0.5000, 0.0000, 0.2500)
Pd (0.0000, 0.2500, 0.5000)
Pd (0.2500, 0.5000, 0.0000)
Pd (0.0000, 0.7500, 0.5000)
Pd (0.7500, 0.5000, 0.0000)
Ba (0.0000, 0.0000, 0.0000)
Ba (0.5000, 0.5000, 0.5000)

Record 16
Pm2Si4IrPt3: relaxed, PBE.

Raw formation energy (eV per atom): -1.10

Lattice parameters (Å, degrees): 4.1807 4.1807 10.0577 90.00 90.00 90.00
Sites, in units of the cell vectors:
Si (0.0000, 0.0000, 0.0000)
Si (0.0000, 0.5000, 0.3660)
Si (0.5000, 0.0000, 0.6340)
Si (0.5000, 0.5000, 0.0000)
Pt (0.5000, 0.0000, 0.8761)
Pt (0.0000, 0.5000, 0.1239)
Pt (0.0000, 0.0000, 0.5000)
Pm (0.5000, 0.0000, 0.2454)
Pm (0.0000, 0.5000, 0.7546)
Ir (0.5000, 0.5000, 0.5000)

Record 17
Cd2FeAs: relaxed, PBE.

Formation enthalpy at 0 K (meV/atom): 423

Lattice parameters (Å, degrees): 4.7463 4.7463 4.7463 60.00 60.00 60.00
Sites, in units of the cell vectors:
Cd (0.0000, 0.0000, 0.0000)
Cd (0.2500, 0.2500, 0.2500)
As (0.5000, 0.5000, 0.5000)
Fe (0.7500, 0.7500, 0.7500)

Record 18
SrHf2Rh2: relaxed, PBE.

Relative energy among the computed polymorphs (meV/atom): 329.3
Formation enthalpy at 0 K (meV/atom): -275

Lattice parameters (Å, degrees): 4.8347 4.8347 6.2572 67.27 67.27 90.00
Sites, in units of the cell vectors:
Rh (0.7500, 0.2500, 0.5000)
Rh (0.2500, 0.7500, 0.5000)
Hf (0.6562, 0.6562, 0.6875)
Hf (0.3438, 0.3438, 0.3125)
Sr (0.0000, 0.0000, 0.0000)

Record 19
AcBi3Pd2: relaxed, PBE.

Formation enthalpy at 0 K (meV/atom): -474

Lattice parameters (Å, degrees): 4.3384 8.9419 9.5876 111.22 90.00 104.04
Sites, in units of the cell vectors:
Bi (0.6857, 0.3715, 0.8607)
Bi (0.3143, 0.6285, 0.1393)
Bi (0.3337, 0.6674, 0.5441)
Bi (0.0354, 0.0709, 0.6847)
Bi (0.9646, 0.9291, 0.3153)
Bi (0.6663, 0.3326, 0.4559)
Pd (0.8018, 0.6037, 0.3408)
Pd (0.4746, 0.9492, 0.1207)
Pd (0.5254, 0.0508, 0.8793)
Pd (0.1982, 0.3963, 0.6592)
Ac (0.1182, 0.2364, 0.1376)
Ac (0.8818, 0.7636, 0.8624)

Record 20
LiAl2As: relaxed, PBE.

Formation enthalpy at 0 K (meV/atom): -117

Lattice parameters (Å, degrees): 5.1281 5.1281 5.1281 135.47 133.74 66.15
Sites, in units of the cell vectors:
Li (0.2526, 0.7526, 0.5000)
As (0.4988, 0.4988, 0.0000)
Al (0.7479, 0.2479, 0.5000)
Al (0.0007, 0.0007, 0.0000)

Listing total magnetic moment for the structures above in their given order: 0.00 2.08 0.00 4.55 0.60 0.00 0.00 7.22 5.32 0.00 0.00 0.00 0.00 0.00 0.00 0.00 2.79 0.09 0.00 0.00 μB per cell.